1.
This record from Alexandria describes La3Pb2O after structural relaxation. The functional is GGA-PBE.

The value obtained for the uncorrected formation energy is -1.36 eV per atom. Its volume is 759.5 Å³ per cell.

It has space group Pnma (No. 62), with a = 9.5641 Å, b = 4.2991 Å, c = 18.4722 Å, α = 90.00°, β = 90.00° and γ = 90.00°. Symmetry generates all atoms from La at (0.0278, 0.2500, 0.1086), La at (0.1393, 0.2500, 0.5781), La at (0.1785, 0.7500, 0.2658), Pb at (0.0793, 0.7500, 0.7167), Pb at (0.2474, 0.2500, 0.9518) and O at (0.1381, 0.7500, 0.1352).

***

2.
This record from Alexandria describes KSrCdSb after structural relaxation. The functional is GGA-PBE.

The value obtained for the uncorrected formation energy is -0.51 eV per atom. Its volume is 547.2 Å³ per cell.

It has space group F-43m (No. 216), with a = 8.1793 Å, b = 8.1793 Å, c = 8.1793 Å, α = 90.00°, β = 90.00° and γ = 90.00°. Symmetry generates all atoms from K at (0.0000, 0.0000, 0.0000), Sr at (0.0000, 0.0000, 0.5000), Cd at (0.2500, 0.2500, 0.7500) and Sb at (0.2500, 0.2500, 0.2500).

***

Which formula does entry 2 have?
KSrCdSb

***

Copy entry 1 word for word.
This record from Alexandria describes La3Pb2O after structural relaxation. The functional is GGA-PBE.

The value obtained for the uncorrected formation energy is -1.36 eV per atom. Its volume is 759.5 Å³ per cell.

It has space group Pnma (No. 62), with a = 9.5641 Å, b = 4.2991 Å, c = 18.4722 Å, α = 90.00°, β = 90.00° and γ = 90.00°. Symmetry generates all atoms from La at (0.0278, 0.2500, 0.1086), La at (0.1393, 0.2500, 0.5781), La at (0.1785, 0.7500, 0.2658), Pb at (0.0793, 0.7500, 0.7167), Pb at (0.2474, 0.2500, 0.9518) and O at (0.1381, 0.7500, 0.1352).

***

The highest volume belongs to which entry?
La3Pb2O